[1]
Entry from the Alexandria database: MgNi2F8 after structural relaxation (PBE with a Hubbard U).

Calculated values
The total energy is -4.03 eV/atom. The calculation puts the volume at 12.093 Å³ per atom.

Unit cell a=6.1881 b=6.1881 c=4.0111 alpha=90.00 beta=90.00 gamma=120.00
Space group P-3m1 (No. 164)
One atom of each set of equivalent atoms:
1 Mg 0.0000 0.0000 0.0000 x1
2 Ni 0.3333 0.6667 0.7297 x2
3 F 0.1647 0.3294 0.7527 x6
4 F 0.3333 0.6667 0.2489 x2

---

[2]
Entry from the Alexandria database: MgNiF4 after structural relaxation (PBE with a Hubbard U).

Calculated values
For the relative energy among the computed polymorphs, the calculation gives 0.00 eV per formula unit. The calculation puts the volume at 11.404 Å³ per atom.

Unit cell a=6.645 b=6.645 c=6.199 alpha=90.00 beta=90.00 gamma=90.00
Space group I4_1md (No. 109)
One atom of each set of equivalent atoms:
1 Mg 0.000 0.000 0.000 x4
2 Ni 0.000 0.000 0.503 x4
3 F 0.000 0.302 0.004 x8
4 F 0.000 0.304 0.500 x8

---

[3]
Entry from the Alexandria database: MgNiF5 after structural relaxation (PBE with a Hubbard U).

Calculated values
For the relative energy among the computed polymorphs, the calculation gives 0.00 eV per formula unit. The calculation puts the volume at 12.180 Å³ per atom.

Unit cell a=8.465 b=6.077 c=7.391 alpha=90.00 beta=116.24 gamma=90.00
Space group C2/c (No. 15)
One atom of each set of equivalent atoms:
1 Mg 0.000 0.035 0.250 x4
2 Ni 0.000 0.500 0.000 x4
3 F 0.000 0.379 0.250 x4
4 F 0.020 0.197 0.956 x8
5 F 0.243 0.468 0.632 x8

---

Please write out number 3 again, unchanged.
Entry from the Alexandria database: MgNiF5 after structural relaxation (PBE with a Hubbard U).

Calculated values
For the relative energy among the computed polymorphs, the calculation gives 0.00 eV per formula unit. The calculation puts the volume at 12.180 Å³ per atom.

Unit cell a=8.465 b=6.077 c=7.391 alpha=90.00 beta=116.24 gamma=90.00
Space group C2/c (No. 15)
One atom of each set of equivalent atoms:
1 Mg 0.000 0.035 0.250 x4
2 Ni 0.000 0.500 0.000 x4
3 F 0.000 0.379 0.250 x4
4 F 0.020 0.197 0.956 x8
5 F 0.243 0.468 0.632 x8